Compound: Ba2Cd2RhO6
Source: Alexandria via LeMat-Bulk
Functional: PBE
Structure: relaxed

Summary:
N(E_F), states/eV/cell: 6.70
Symmetry: R-3m, No. 166

Cell lengths 6.306, 6.306, 6.647 Å; angles 61.68, 61.68, 60.00 degrees
Last column: magnetic moment on the atom in μB.
Sites, in units of the cell vectors:
1 Ba 0.795 0.795 0.616  0.01
2 Ba 0.205 0.205 0.384  0.01
3 Cd 0.401 0.401 0.797  0.00
4 Cd 0.599 0.599 0.203  0.00
5 Rh 0.000 0.000 0.000  0.63
6 O 0.778 0.778 0.240  0.05
7 O 0.204 0.778 0.240  0.05
8 O 0.778 0.204 0.240  0.05
9 O 0.222 0.796 0.760  0.05
10 O 0.796 0.222 0.760  0.05
11 O 0.222 0.222 0.760  0.05

***

Compound: Ba2CdRhO4
Source: Alexandria via LeMat-Bulk
Functional: PBE
Structure: relaxed

Summary:
Symmetry: Fddd, No. 70

Cell lengths 5.357, 6.938, 9.570 Å; angles 83.80, 73.75, 67.29 degrees
Last column: magnetic moment on the atom in μB.
Sites, in units of the cell vectors:
1 Ba 0.176 0.000 0.647  0.00
2 Ba 0.824 0.000 0.353  0.00
3 Ba 0.574 0.500 0.853  0.00
4 Ba 0.926 0.500 0.147  0.00
5 Cd 0.250 0.500 0.500  0.00
6 Cd 0.500 0.000 0.000  0.00
7 Rh 0.750 0.500 0.500  0.56
8 Rh 0.000 0.000 0.000  0.56
9 O 0.306 0.752 0.072  0.07
10 O 0.131 0.248 0.928  0.07
11 O 0.942 0.752 0.928  0.07
12 O 0.622 0.248 0.072  0.07
13 O 0.444 0.748 0.428  0.07
14 O 0.619 0.252 0.572  0.07
15 O 0.808 0.748 0.572  0.07
16 O 0.128 0.252 0.428  0.07

***

Compound: Ba3Cd2RuO6
Source: Alexandria via LeMat-Bulk
Functional: PBE
Structure: relaxed

Summary:
N(E_F), states/eV/cell: 3.61
Symmetry: P-3m1, No. 164

Cell lengths 5.990, 5.990, 7.098 Å; angles 90.00, 90.00, 120.00 degrees
Last column: magnetic moment on the atom in μB.
Sites, in units of the cell vectors:
1 Ba 0.333 0.667 0.623  0.01
2 Ba 0.667 0.333 0.377  0.01
3 Ba 0.000 0.000 0.000  0.01
4 Cd 0.667 0.333 0.865  0.00
5 Cd 0.333 0.667 0.135  0.00
6 Ru 0.000 0.000 0.500  1.91
7 O 0.688 0.844 0.334  0.11
8 O 0.156 0.312 0.334  0.11
9 O 0.156 0.844 0.334  0.11
10 O 0.844 0.688 0.666  0.11
11 O 0.312 0.156 0.666  0.11
12 O 0.844 0.156 0.666  0.11

***

Compound: BaCdRu2O
Source: Alexandria via LeMat-Bulk
Functional: PBE
Structure: relaxed

Summary:
N(E_F), states/eV/cell: 7.30
Symmetry: P4/mmm, No. 123

Cell lengths 5.285, 4.455, 5.285 Å; angles 90.00, 90.00, 90.00 degrees
Last column: magnetic moment on the atom in μB.
Sites, in units of the cell vectors:
1 Ru 0.000 0.000 0.500  1.34
2 Ru 0.500 0.000 0.000  1.49
3 Ba 0.000 0.000 0.000  -0.03
4 O 0.000 0.500 0.000  0.09
5 Cd 0.500 0.500 0.500  -0.03

***

Compound: Ba3CdRu2O9
Source: Alexandria via LeMat-Bulk
Functional: PBE
Structure: relaxed

Summary:
N(E_F), states/eV/cell: 5.11
Symmetry: P-3m1, No. 164

Cell lengths 5.885, 5.885, 7.263 Å; angles 90.00, 90.00, 120.00 degrees
Last column: magnetic moment on the atom in μB.
Sites, in units of the cell vectors:
1 Ba 0.333 0.667 0.673  0.02
2 Ba 0.000 0.000 0.000  0.02
3 Ba 0.667 0.333 0.327  0.02
4 Cd 0.000 0.000 0.500  0.00
5 Ru 0.333 0.667 0.165  1.85
6 Ru 0.667 0.333 0.835  1.85
7 O 0.823 0.177 0.686  0.16
8 O 0.823 0.645 0.686  0.16
9 O 0.355 0.177 0.686  0.16
10 O 0.645 0.823 0.314  0.16
11 O 0.177 0.355 0.314  0.16
12 O 0.177 0.823 0.314  0.16
13 O 0.500 0.000 0.000  0.18
14 O 0.000 0.500 0.000  0.18
15 O 0.500 0.500 0.000  0.18

***

Compound: BaCdRu2O8
Source: Alexandria via LeMat-Bulk
Functional: PBE
Structure: relaxed

Summary:
N(E_F), states/eV/cell: 0.31
Symmetry: C2/m, No. 12

Cell lengths 5.465, 5.465, 8.147 Å; angles 87.76, 87.76, 67.07 degrees
Last column: magnetic moment on the atom in μB.
Sites, in units of the cell vectors:
1 Ba 0.000 0.000 0.500  0.02
2 Cd 0.000 0.000 0.000  0.04
3 Ru 0.626 0.626 0.221  1.06
4 Ru 0.374 0.374 0.779  1.06
5 O 0.734 0.233 0.782  0.14
6 O 0.753 0.753 0.050  0.21
7 O 0.709 0.709 0.416  0.21
8 O 0.291 0.291 0.584  0.21
9 O 0.247 0.247 0.950  0.21
10 O 0.233 0.734 0.782  0.14
11 O 0.767 0.266 0.218  0.14
12 O 0.266 0.767 0.218  0.14

***

Compound: BaCd2RuO5
Source: Alexandria via LeMat-Bulk
Functional: PBE
Structure: relaxed

Summary:
N(E_F), states/eV/cell: 3.89
Symmetry: Immm, No. 71

Cell lengths 3.708, 5.876, 6.828 Å; angles 115.48, 105.75, 90.00 degrees
Sites, in units of the cell vectors:
1 Ba 0.000 0.500 0.000
2 Cd 0.221 0.221 0.442
3 Cd 0.779 0.779 0.558
4 Ru 0.500 0.000 0.000
5 O 0.634 0.901 0.269
6 O 0.366 0.099 0.731
7 O 0.366 0.632 0.731
8 O 0.634 0.368 0.269
9 O 0.000 0.000 0.000

***

Compound: BaCd2SO2
Source: Alexandria via LeMat-Bulk
Functional: PBE
Structure: relaxed

Summary:
Symmetry: P2_1/m, No. 11

Cell lengths 6.167, 7.480, 5.679 Å; angles 95.23, 90.00, 90.00 degrees
Sites, in units of the cell vectors:
1 Ba 0.750 0.380 0.787
2 Ba 0.250 0.620 0.213
3 Cd 0.514 0.107 0.266
4 Cd 0.986 0.107 0.266
5 Cd 0.014 0.893 0.734
6 Cd 0.486 0.893 0.734
7 S 0.250 0.207 0.924
8 S 0.750 0.793 0.076
9 O 0.250 0.946 0.399
10 O 0.250 0.667 0.744
11 O 0.750 0.054 0.601
12 O 0.750 0.333 0.256

***

| no. | E_tot (eV per formula unit) | uncorrected formation energy (meV/atom) | total moment (μB per atom) |
| --- | --- | --- | --- |
| 1 | -57.3 | -1322 | 0.096 |
| 2 | -42.6 | -1338 | 0.117 |
| 3 | -66.2 | -1631 | 0.243 |
| 4 | -18.4 | 1583 | 0.608 |
| 5 | -96.0 | -1740 | 0.394 |
| 6 | -75.3 | -1185 | 0.337 |
| 7 | -49.5 | -1293 | 0.000 |
| 8 | -25.3 | -1246 | 0.000 |